# 1
A plane-wave DFT calculation with PBE was carried out for a geometry-optimized Li4CoAu structure. Values from VASP.

Properties
Crystal system: cubic
Energy of formation from the pure elements (meV/atom): 120

The structure in Quantum ESPRESSO input format:
```
&SYSTEM
  ibrav = 0, nat = 6, ntyp = 3
/
ATOMIC_SPECIES
Co 58.93 Co.upf
Li 6.94 Li.upf
Au 196.97 Au.upf
CELL_PARAMETERS angstrom
0.000 3.409 3.409
3.409 0.000 3.409
3.409 3.409 0.000
ATOMIC_POSITIONS crystal
Co 0.000 0.000 0.000
Li 0.375 0.375 0.375
Li 0.375 0.876 0.375
Li 0.375 0.375 0.876
Li 0.876 0.375 0.375
Au 0.750 0.750 0.750
```

---

# 2
A plane-wave DFT calculation with PBE was carried out for a geometry-optimized SrLiAg2Hg structure. Values from VASP.

Properties
Energy above the most stable polymorph in this dataset (meV per atom): 122
Crystal system: tetragonal
Energy of formation from the pure elements (meV/atom): -155

The structure in Quantum ESPRESSO input format:
```
&SYSTEM
  ibrav = 0, nat = 5, ntyp = 4
/
ATOMIC_SPECIES
Hg 200.59 Hg.upf
Ag 107.87 Ag.upf
Sr 87.62 Sr.upf
Li 6.94 Li.upf
CELL_PARAMETERS angstrom
4.921 0.000 0.000
0.000 4.921 0.000
0.000 0.000 4.991
ATOMIC_POSITIONS crystal
Hg 0.000 0.000 0.500
Ag 0.000 0.500 0.000
Ag 0.500 0.000 0.000
Sr 0.500 0.500 0.500
Li 0.000 0.000 0.000
```

---

# 3
A plane-wave DFT calculation with PBE was carried out for a geometry-optimized LaHg5 structure. Values from VASP.

Properties
Crystal system: cubic
Energy of formation from the pure elements (meV/atom): -178

The structure in Quantum ESPRESSO input format:
```
&SYSTEM
  ibrav = 0, nat = 6, ntyp = 2
/
ATOMIC_SPECIES
La 138.91 La.upf
Hg 200.59 Hg.upf
CELL_PARAMETERS angstrom
-3.255 -0.313 5.135
-2.668 5.000 2.223
-6.058 0.561 -0.197
ATOMIC_POSITIONS crystal
La 0.000 0.000 0.000
Hg 0.250 0.250 0.250
Hg 0.625 0.625 0.625
Hg 0.625 0.126 0.625
Hg 0.625 0.625 0.126
Hg 0.126 0.625 0.625
```

---

# 4
A plane-wave DFT calculation with PBE was carried out for a geometry-optimized TeMoI2 structure. Values from VASP.

Properties
Energy above the most stable polymorph in this dataset (meV per atom): 175
Crystal system: cubic

The structure in Quantum ESPRESSO input format:
```
&SYSTEM
  ibrav = 0, nat = 4, ntyp = 3
/
ATOMIC_SPECIES
I 126.90 I.upf
Mo 95.94 Mo.upf
Te 127.60 Te.upf
CELL_PARAMETERS angstrom
2.371 2.426 4.213
-2.323 -0.177 4.881
2.210 -2.973 3.941
ATOMIC_POSITIONS crystal
I 0.750 0.750 0.750
I 0.250 0.250 0.250
Mo 0.000 0.000 0.000
Te 0.500 0.500 0.500
```

---

# 5
A plane-wave DFT calculation with PBE was carried out for a geometry-optimized TaHg2Cl structure. Values from VASP.

Properties
Energy above the most stable polymorph in this dataset (meV per atom): 629
Crystal system: orthorhombic

The structure in Quantum ESPRESSO input format:
```
&SYSTEM
  ibrav = 0, nat = 4, ntyp = 3
/
ATOMIC_SPECIES
Hg 200.59 Hg.upf
Ta 180.95 Ta.upf
Cl 35.45 Cl.upf
CELL_PARAMETERS angstrom
3.046 0.000 0.000
0.000 4.919 0.000
0.000 0.000 5.585
ATOMIC_POSITIONS crystal
Hg 0.500 0.500 0.000
Hg 0.000 0.000 0.000
Ta 0.500 0.000 0.500
Cl 0.000 0.500 0.500
```

---

# 6
A plane-wave DFT calculation with PBE was carried out for a geometry-optimized LiCl5 structure. Values from VASP.

Properties
Energy above the most stable polymorph in this dataset (meV per atom): 0
Crystal system: monoclinic

The structure in Quantum ESPRESSO input format:
```
&SYSTEM
  ibrav = 0, nat = 6, ntyp = 2
/
ATOMIC_SPECIES
Cl 35.45 Cl.upf
Li 6.94 Li.upf
CELL_PARAMETERS angstrom
4.046 0.000 0.000
-2.023 3.337 -1.331
0.000 -0.628 12.904
ATOMIC_POSITIONS crystal
Cl 0.719 0.438 0.257
Cl 0.954 0.908 0.415
Cl 0.350 0.699 0.785
Cl 0.348 0.697 0.629
Cl 0.386 0.772 0.027
Li 0.077 0.154 0.054
```

---

Number 1: size of the total moment 0.16 μB per atom. Number 2: size of the total moment 0.00 μB per atom. Number 3: size of the total moment 0.00 μB per atom. Number 4: size of the total moment 0.54 μB per atom. Number 5: size of the total moment 0.22 μB per atom. Number 6: size of the total moment 0.00 μB per atom.